# 1
This record from Alexandria via LeMat-Bulk describes a relaxed structure of NdSm2Tm5. The functional is PBE-GGA.

```
NdSm2Tm5
1.0
-3.5575 3.5575 4.9660
3.5575 -3.5575 4.9660
3.5575 3.5575 -4.9660
Nd Sm Tm
1 2 5
Direct
0.0000 0.0000 0.0000 Nd
0.0000 0.5000 0.5000 Sm
0.5000 0.0000 0.5000 Sm
0.0000 0.0000 0.5000 Tm
0.0000 0.5000 0.0000 Tm
0.5000 0.0000 0.0000 Tm
0.5000 0.5000 0.0000 Tm
0.5000 0.5000 0.5000 Tm
```

Properties
- Fermi-level density of states (states/eV per atom) = 1.333
- offset from the most stable computed form (kJ/mol of atoms) = 0.00
- E (eV per atom) = -4.55
- formation enthalpy at 0 K (meV/atom) = 22.1



# 2
This record from Alexandria via LeMat-Bulk describes a relaxed structure of Rb2TiGe2. The functional is PBE-GGA.

```
Rb2TiGe2
1.0
-1.8550 1.8550 12.5679
1.8550 -1.8550 12.5679
1.8550 1.8550 -12.5679
Rb Ti Ge
2 1 2
Direct
0.1222 0.1222 0.0000 Rb
0.8778 0.8778 0.0000 Rb
0.5000 0.5000 0.0000 Ti
0.2500 0.7500 0.5000 Ge
0.7500 0.2500 0.5000 Ge
```

Properties
- Fermi-level density of states (states/eV per atom) = 0.712
- offset from the most stable computed form (kJ/mol of atoms) = 0.00
- E (eV per atom) = -3.15
- formation enthalpy at 0 K (meV/atom) = 663.2



# 3
This record from Alexandria via LeMat-Bulk describes a relaxed structure of FeCuSb2. The functional is PBE-GGA.

```
FeCuSb2
1.0
0.0000 3.4279 3.4279
3.4279 0.0000 3.4279
3.4279 3.4279 0.0000
Fe Cu Sb
1 1 2
Direct
0.0000 0.0000 0.0000 Fe
0.2500 0.2500 0.2500 Cu
0.5000 0.5000 0.5000 Sb
0.7500 0.7500 0.7500 Sb
```

Properties
- Fermi-level density of states (states/eV per atom) = 1.040
- E (eV per atom) = -4.55



# 4
This record from Alexandria via LeMat-Bulk describes a relaxed structure of Mg16Al12P. The functional is PBE-GGA.

```
Mg16Al12P
1.0
7.3263 4.2298 3.0988
-7.3263 4.2298 3.0988
0.0000 -8.4597 3.0988
Mg Al P
16 12 1
Direct
0.0000 0.0000 0.0000 Mg
0.2869 0.5707 0.5707 Mg
0.3058 0.3058 0.7075 Mg
0.3058 0.7075 0.3058 Mg
0.3947 0.6698 0.9901 Mg
0.3947 0.9901 0.6698 Mg
0.5707 0.2869 0.5707 Mg
0.5707 0.5707 0.2869 Mg
0.6432 0.9924 0.9924 Mg
0.6698 0.3947 0.9901 Mg
0.6698 0.9901 0.3947 Mg
0.7075 0.3058 0.3058 Mg
0.9901 0.3947 0.6698 Mg
0.9901 0.6698 0.3947 Mg
0.9924 0.6432 0.9924 Mg
0.9924 0.9924 0.6432 Mg
0.1716 0.3584 0.9855 Al
0.1716 0.9855 0.3584 Al
0.1817 0.8055 0.8055 Al
0.3584 0.1716 0.9855 Al
0.3584 0.9855 0.1716 Al
0.6352 0.6352 0.8246 Al
0.6352 0.8246 0.6352 Al
0.8055 0.1817 0.8055 Al
0.8055 0.8055 0.1817 Al
0.8246 0.6352 0.6352 Al
0.9855 0.1716 0.3584 Al
0.9855 0.3584 0.1716 Al
0.2935 0.2935 0.2935 P
```

Properties
- Fermi-level density of states (states/eV per atom) = 0.375
- E (eV per atom) = -2.63
- formation enthalpy at 0 K (meV/atom) = -11.5



# 5
This record from Alexandria via LeMat-Bulk describes a relaxed structure of KTiPb2O4. The functional is PBE-GGA.

```
KTiPb2O4
1.0
0.0000 4.1991 5.4007
3.5067 0.0000 5.4007
3.5067 4.1991 0.0000
K Ti Pb O
1 1 2 4
Direct
0.0000 0.0000 0.0000 K
0.4511 0.4511 0.5489 Ti
0.2335 0.2335 0.2665 Pb
0.7335 0.7335 0.7665 Pb
0.1320 0.5609 0.8680 O
0.3709 0.7247 0.2753 O
0.5609 0.1320 0.4391 O
0.7247 0.3709 0.6291 O
```

Properties
- Fermi-level density of states (states/eV per atom) = 0.212
- E (eV per atom) = -6.26



# 6
This record from Alexandria via LeMat-Bulk describes a relaxed structure of Ti4BeFe. The functional is PBE-GGA.

```
Ti4BeFe
1.0
3.7688 -1.9516 0.0000
3.7688 1.9516 0.0000
-2.1443 0.0000 6.5346
Ti Be Fe
4 1 1
Direct
0.1241 0.1241 0.3828 Ti
0.3672 0.3672 0.1351 Ti
0.6328 0.6328 0.8649 Ti
0.8759 0.8759 0.6172 Ti
0.0000 0.0000 0.0000 Be
0.5000 0.5000 0.5000 Fe
```

Properties
- Fermi-level density of states (states/eV per atom) = 1.454
- E (eV per atom) = -7.11
- formation enthalpy at 0 K (meV/atom) = 185.8



# 7
This record from Alexandria via LeMat-Bulk describes a relaxed structure of Dy3TaO7. The functional is PBE-GGA.

```
Dy3TaO7
1.0
3.7352 -7.2324 0.0000
3.7352 7.2324 0.0000
0.0000 0.0000 5.3649
Dy Ta O
6 2 14
Direct
0.0000 0.5000 0.5000 Dy
0.1197 0.8803 0.9721 Dy
0.3803 0.6197 0.9721 Dy
0.5000 0.0000 0.5000 Dy
0.6197 0.3803 0.0279 Dy
0.8803 0.1197 0.0279 Dy
0.2500 0.2500 0.5000 Ta
0.7500 0.7500 0.5000 Ta
0.0127 0.9873 0.7111 O
0.0990 0.3377 0.7359 O
0.1623 0.4010 0.2641 O
0.2500 0.7500 0.7440 O
0.3377 0.0990 0.2641 O
0.4010 0.1623 0.7359 O
0.4873 0.5127 0.7111 O
0.5127 0.4873 0.2889 O
0.5990 0.8377 0.2641 O
0.6623 0.9010 0.7359 O
0.7500 0.2500 0.2560 O
0.8377 0.5990 0.7359 O
0.9010 0.6623 0.2641 O
0.9873 0.0127 0.2889 O
```

Properties
- Fermi-level density of states (states/eV per atom) = 0.000
- offset from the most stable computed form (kJ/mol of atoms) = 24.85
- E (eV per atom) = -8.66



# 8
This record from Alexandria via LeMat-Bulk describes a relaxed structure of MnAg2Mo. The functional is PBE-GGA.

```
MnAg2Mo
1.0
1.4104 0.8143 9.5358
-1.4104 0.8143 9.5358
0.0000 -1.6286 9.5358
Mn Ag Mo
1 2 1
Direct
0.0000 0.0000 0.0000 Mn
0.2522 0.2522 0.2522 Ag
0.7478 0.7478 0.7478 Ag
0.5000 0.5000 0.5000 Mo
```

Properties
- Fermi-level density of states (states/eV per atom) = 1.084
- offset from the most stable computed form (kJ/mol of atoms) = 19.83
- E (eV per atom) = -5.92
- formation enthalpy at 0 K (meV/atom) = 502.2